ReB2Ru: PBEsol geometry, SCAN.

a b c (Å): 3.824 3.824 3.824
angles (deg): 60.00 60.00 60.00
Sites, in units of the cell vectors:
Re 0.000 0.000 0.000
B 0.250 0.250 0.250
B 0.750 0.750 0.750
Ru 0.500 0.500 0.500

Summary:
**Calculated volume**: 9.89 Å³/atom
**DOS(E_F)**: 2.913 states/eV/f.u.
**Energy of formation from the pure elements**: 270.7 meV per atom
**Symmetry**: Fm-3m (225)

=====

Re3BS: PBEsol geometry, SCAN.

a b c (Å): 4.262 4.262 4.262
angles (deg): 90.00 90.00 90.00
Sites, in units of the cell vectors:
Re 0.000 0.000 0.500
Re 0.000 0.500 0.000
Re 0.500 0.000 0.000
B 0.500 0.500 0.500
S 0.000 0.000 0.000

Summary:
**Calculated volume**: 15.49 Å³/atom
**DOS(E_F)**: 4.244 states/eV/f.u.
**Symmetry**: Pm-3m (221)
**Final energy**: -219.935 eV for the cell shown

=====

ReB2Sb: PBEsol geometry, SCAN.

a b c (Å): 6.045 6.045 6.045
angles (deg): 129.95 129.95 73.48
Sites, in units of the cell vectors:
Re 0.000 0.000 0.000
Re 0.750 0.250 0.500
B 0.082 0.625 0.957
B 0.375 0.332 0.457
B 0.668 0.125 0.043
B 0.875 0.918 0.543
Sb 0.250 0.750 0.500
Sb 0.500 0.500 0.000

Summary:
**Calculated volume**: 15.83 Å³/atom
**DOS(E_F)**: 2.639 states/eV/f.u.
**Symmetry**: I-42d (122)
**Final energy**: -239.844 eV for the cell shown

=====

ReBSe3: PBEsol geometry, SCAN.

a b c (Å): 4.252 4.252 4.252
angles (deg): 90.00 90.00 90.00
Sites, in units of the cell vectors:
Re 0.000 0.000 0.000
B 0.500 0.500 0.500
Se 0.000 0.500 0.500
Se 0.500 0.000 0.500
Se 0.500 0.500 0.000

Summary:
**Calculated volume**: 15.37 Å³/atom
**DOS(E_F)**: 2.595 states/eV/f.u.
**Symmetry**: Pm-3m (221)
**Final energy**: -131.877 eV for the cell shown

=====

What is the calculated volume in the second record? 15.49 Å³/atom

=====

Which formula does entry 1 have? ReB2Ru

=====

Look up the calculated volume of the first one. 9.89 Å³/atom

=====

Which formula does entry 3 have? ReB2Sb